No. 1
{
  "formula": "Li5TlInPb2",
  "functional": "PBE",
  "state": "relaxed",
  "final_energy_ev_per_cell": -46.1,
  "total_magnetization_mub_per_cell": 0.0,
  "crystal_system": "tetragonal",
  "space_group": "I4/mcm (140)",
  "lattice_angstrom": [[7.827, 0.000, 0.000], [0.000, 7.827, 0.000], [-3.913, -3.913, 6.834]],
  "species": ["Li", "Li", "Li", "Li", "Li", "Li", "Li", "Li", "Li", "Li", "Tl", "Tl", "In", "In", "Pb", "Pb", "Pb", "Pb"],
  "frac_coords": [[0.939, 0.439, 0.278], [0.660, 0.160, 0.722], [0.061, 0.561, 0.722], [0.160, 0.061, 0.722], [0.561, 0.660, 0.722], [0.840, 0.939, 0.278], [0.439, 0.340, 0.278], [0.340, 0.840, 0.278], [0.500, 0.500, 0.000], [0.000, 0.000, 0.000], [0.250, 0.750, 0.500], [0.750, 0.250, 0.500], [0.250, 0.250, 0.500], [0.750, 0.750, 0.500], [0.130, 0.370, 0.000], [0.630, 0.130, 0.000], [0.370, 0.870, 0.000], [0.870, 0.630, 0.000]]
}

No. 2
{
  "formula": "LiTmInPb",
  "functional": "PBE",
  "state": "relaxed",
  "total_magnetization_mub_per_cell": 0.0,
  "crystal_system": "cubic",
  "space_group": "F-43m (216)",
  "relative_energy_ev_per_atom": 0.066,
  "lattice_angstrom": [[-1.035, -3.526, -3.669], [0.783, -5.044, 0.952], [-4.054, -3.199, 0.543]],
  "species": ["Pb", "Tm", "Li", "In"],
  "frac_coords": [[0.250, 0.250, 0.250], [0.000, 0.000, 0.000], [0.500, 0.500, 0.500], [0.750, 0.750, 0.750]]
}

No. 3
{
  "formula": "LiTmInPb",
  "functional": "PBE",
  "state": "relaxed",
  "total_magnetization_mub_per_cell": 0.0,
  "crystal_system": "orthorhombic",
  "space_group": "Pmmm (47)",
  "relative_energy_ev_per_atom": 0.000,
  "lattice_angstrom": [[-2.719, 1.827, 2.933], [2.454, -1.877, 3.444], [2.722, 3.821, 0.143]],
  "species": ["Li", "Tm", "In", "Pb"],
  "frac_coords": [[0.000, 0.000, 0.000], [0.000, 0.500, 0.500], [0.500, 0.500, 0.000], [0.500, 0.000, 0.500]]
}

No. 4
{
  "formula": "Li3Tm3In2Pb",
  "functional": "PBE",
  "state": "relaxed",
  "final_energy_ev_per_cell": -31.7,
  "total_magnetization_mub_per_cell": 0.0,
  "crystal_system": "hexagonal",
  "space_group": "P-62m (189)",
  "lattice_angstrom": [[4.797, 0.000, 0.000], [0.000, 7.120, 0.000], [0.000, -3.560, 6.166]],
  "species": ["Li", "Li", "Li", "Tm", "Tm", "Tm", "In", "In", "Pb"],
  "frac_coords": [[0.500, 0.775, 0.000], [0.500, 0.225, 0.225], [0.500, 0.000, 0.775], [0.000, 0.000, 0.446], [0.000, 0.554, 0.554], [0.000, 0.446, 0.000], [0.500, 0.333, 0.667], [0.500, 0.667, 0.333], [0.000, 0.000, 0.000]]
}

No. 5
{
  "formula": "LiYInPb",
  "functional": "PBE",
  "state": "relaxed",
  "total_magnetization_mub_per_cell": 0.0,
  "crystal_system": "orthorhombic",
  "space_group": "Pmmm (47)",
  "relative_energy_ev_per_atom": 0.000,
  "lattice_angstrom": [[-4.094, -0.530, 1.698], [0.062, -4.468, -1.243], [1.880, -1.136, 4.178]],
  "species": ["Li", "Y", "In", "Pb"],
  "frac_coords": [[0.000, 0.000, 0.000], [0.000, 0.500, 0.500], [0.500, 0.500, 0.000], [0.500, 0.000, 0.500]]
}

No. 6
{
  "formula": "LiYInPb",
  "functional": "PBE",
  "state": "relaxed",
  "total_magnetization_mub_per_cell": 0.0,
  "crystal_system": "cubic",
  "space_group": "F-43m (216)",
  "relative_energy_ev_per_atom": 0.088,
  "lattice_angstrom": [[5.230, 0.000, 0.000], [2.615, 4.529, 0.000], [2.615, 1.510, 4.270]],
  "species": ["Pb", "Y", "Li", "In"],
  "frac_coords": [[0.250, 0.250, 0.250], [0.000, 0.000, 0.000], [0.500, 0.500, 0.500], [0.750, 0.750, 0.750]]
}

No. 7
{
  "formula": "LiZnInPb",
  "functional": "PBE",
  "state": "relaxed",
  "final_energy_ev_per_cell": -9.9,
  "total_magnetization_mub_per_cell": 0.0,
  "crystal_system": "cubic",
  "space_group": "F-43m (216)",
  "lattice_angstrom": [[-3.835, -3.079, -0.880], [-0.058, -4.563, 2.035], [-3.238, -1.065, 3.653]],
  "species": ["Pb", "Zn", "Li", "In"],
  "frac_coords": [[0.750, 0.750, 0.750], [0.000, 0.000, 0.000], [0.500, 0.500, 0.500], [0.250, 0.250, 0.250]]
}

No. 8
{
  "formula": "Li5In2Pd12",
  "functional": "PBE",
  "state": "relaxed",
  "final_energy_ev_per_cell": -84.7,
  "total_magnetization_mub_per_cell": 0.0,
  "crystal_system": "monoclinic",
  "space_group": "C2/m (12)",
  "lattice_angstrom": [[8.690, 0.000, 0.000], [-4.345, 7.525, 0.213], [0.000, -2.483, 4.434]],
  "species": ["Li", "Li", "Li", "Li", "Li", "In", "In", "Pd", "Pd", "Pd", "Pd", "Pd", "Pd", "Pd", "Pd", "Pd", "Pd", "Pd", "Pd"],
  "frac_coords": [[0.349, 0.699, 0.569], [0.217, 0.433, 0.969], [0.000, 0.000, 0.500], [0.783, 0.567, 0.031], [0.651, 0.301, 0.431], [0.793, 0.000, 0.000], [0.207, 0.000, 0.000], [0.152, 0.305, 0.378], [0.076, 0.600, 0.804], [0.524, 0.600, 0.804], [0.156, 0.799, 0.407], [0.643, 0.799, 0.407], [0.549, 0.099, 0.824], [0.451, 0.901, 0.176], [0.844, 0.201, 0.593], [0.357, 0.201, 0.593], [0.924, 0.400, 0.196], [0.476, 0.400, 0.196], [0.848, 0.695, 0.622]]
}